DyY4Ho3, relaxed, DFT PBE-GGA; space-group type = No. 65; energy relative to the lowest polymorph listed for this composition = 0.2098 eV per atom; DFT formation energy = 0.21 eV per atom
1.0
-0.708 -5.540 -0.475
2.174 -0.515 2.767
-9.881 3.379 8.403
Y Ho Dy
4 3 1
Cartesian
-1.380 -2.902 2.831
-7.035 0.226 7.864
-4.589 0.080 5.909
-3.827 -2.757 4.787
1.087 -0.258 1.384
-5.233 -2.866 8.155
-3.182 0.189 2.541
-0.354 -2.770 -0.237